(1)
Compound: Ag4BrCl3
Source: the Open Quantum Materials Database
Functional: PBE
Structure: relaxed

a b c (Å): 7.5105 7.5105 7.5105
angles (deg): 132.10 132.10 70.07
Fractional coordinates of all 8 atoms:
1 Ag 0.3718 0.8851 0.0008
2 Ag 0.1149 0.1156 0.4866
3 Ag 0.6290 0.6282 0.5134
4 Ag 0.8844 0.3710 0.9992
5 Br 0.5000 0.5000 0.0000
6 Cl 0.0000 0.0000 0.0000
7 Cl 0.7500 0.2500 0.5000
8 Cl 0.2500 0.7500 0.5000

Calculated values
Energy in Ry per atom: -0.2015


(2)
Compound: Ag2Br3Cl
Source: the Open Quantum Materials Database
Functional: PBE
Structure: relaxed

a b c (Å): 6.8547 3.7594 7.7773
angles (deg): 90.00 114.42 90.00
Fractional coordinates of all 6 atoms:
1 Ag 0.9999 0.0000 0.0000
2 Ag 0.4923 0.5000 0.5000
3 Br 0.2666 0.5000 0.0078
4 Br 0.7603 0.0000 0.5076
5 Br 0.7336 0.5000 0.9935
6 Cl 0.2473 0.0000 0.4911

Calculated values
Energy in Ry per atom: -0.1722


(3)
Compound: CsAgBrCl2
Source: the Open Quantum Materials Database
Functional: PBE
Structure: relaxed

a b c (Å): 7.6128 7.6128 7.6128
angles (deg): 121.99 121.99 86.58
Fractional coordinates of all 10 atoms:
1 Ag 0.0000 0.0000 0.0000
2 Ag 0.5000 0.5000 0.0000
3 Br 0.2680 0.2680 0.0000
4 Br 0.7320 0.7320 0.0000
5 Cl 0.7605 0.2395 0.0000
6 Cl 0.2395 0.7605 0.0000
7 Cl 0.2395 0.2395 0.4791
8 Cl 0.7605 0.7605 0.5209
9 Cs 0.7500 0.2500 0.5000
10 Cs 0.2500 0.7500 0.5000

Calculated values
Energy in Ry per atom: -0.2079


(4)
Compound: Cs2AgBrCl3
Source: the Open Quantum Materials Database
Functional: PBE
Structure: relaxed

a b c (Å): 4.6794 7.7308 7.7308
angles (deg): 92.48 90.00 90.00
Fractional coordinates of all 7 atoms:
1 Ag 0.0000 0.0004 0.0004
2 Br 0.0000 0.7573 0.7573
3 Cl 0.0000 0.7801 0.2225
4 Cl 0.0000 0.2335 0.2335
5 Cl 0.0000 0.2225 0.7801
6 Cs 0.5000 0.4931 0.0132
7 Cs 0.5000 0.0132 0.4931

Calculated values
Energy in Ry per atom: -0.2173


(5)
Compound: CsAgBr2Cl
Source: the Open Quantum Materials Database
Functional: PBE
Structure: relaxed

a b c (Å): 7.7974 7.7974 7.7974
angles (deg): 120.75 120.75 88.70
Fractional coordinates of all 10 atoms:
1 Ag 0.0000 0.0000 0.0000
2 Ag 0.5000 0.5000 0.0000
3 Br 0.7645 0.2355 0.0000
4 Br 0.2355 0.7645 0.0000
5 Br 0.2355 0.2355 0.4711
6 Br 0.7645 0.7645 0.5289
7 Cl 0.2828 0.2828 0.0000
8 Cl 0.7172 0.7172 0.0000
9 Cs 0.7500 0.2500 0.5000
10 Cs 0.2500 0.7500 0.5000

Calculated values
Energy in Ry per atom: -0.2020


(6)
Compound: Cs2AgSnBr2Cl4
Source: the Open Quantum Materials Database
Functional: PBE
Structure: relaxed

a b c (Å): 7.7593 7.7593 7.7593
angles (deg): 121.22 121.22 87.90
Fractional coordinates of all 10 atoms:
1 Ag 0.0000 0.0000 0.0000
2 Br 0.2496 0.2496 0.0000
3 Br 0.7504 0.7504 0.0000
4 Cl 0.7471 0.2529 0.0000
5 Cl 0.2529 0.7471 0.0000
6 Cl 0.7471 0.7471 0.4942
7 Cl 0.2529 0.2529 0.5058
8 Cs 0.7500 0.2500 0.5000
9 Cs 0.2500 0.7500 0.5000
10 Sn 0.5000 0.5000 0.0000

Calculated values
Energy in Ry per atom: -0.2337


(7)
Compound: FeAgBr3Cl
Source: the Open Quantum Materials Database
Functional: PBE
Structure: relaxed

a b c (Å): 6.0870 6.1203 6.9308
angles (deg): 63.81 64.79 89.96
Fractional coordinates of all 6 atoms:
1 Ag 0.5006 0.4951 0.0037
2 Br 0.0844 0.6008 0.2674
3 Br 0.3963 0.3516 0.7308
4 Br 0.8714 0.9108 0.7326
5 Cl 0.6490 0.1434 0.2698
6 Fe 0.7482 0.2482 0.4956

Calculated values
Energy in Ry per atom: -0.2583


(8)
Compound: FeAgBr2Cl2
Source: the Open Quantum Materials Database
Functional: PBE
Structure: relaxed

a b c (Å): 5.9280 5.9368 6.8068
angles (deg): 114.86 114.99 90.18
Fractional coordinates of all 6 atoms:
1 Ag 0.4989 0.4959 0.0004
2 Br 0.8762 0.9140 0.2629
3 Br 0.0792 0.6121 0.7348
4 Cl 0.4029 0.3422 0.2671
5 Cl 0.6506 0.1369 0.7346
6 Fe 0.7421 0.2489 0.5001

Calculated values
Energy in Ry per atom: -0.2647


(9)
Compound: Ag2H2BrClO2
Source: the Open Quantum Materials Database
Functional: PBE
Structure: relaxed

a b c (Å): 3.7192 3.7192 10.2491
angles (deg): 90.00 90.00 120.00
Fractional coordinates of all 8 atoms:
1 Ag 0.3333 0.6667 0.0023
2 Ag 0.0000 0.0000 0.5201
3 Br 0.0000 0.0000 0.1735
4 Cl 0.3333 0.6667 0.6728
5 H 0.6667 0.3333 0.3412
6 H 0.6667 0.3333 0.8265
7 O 0.6667 0.3333 0.4373
8 O 0.6667 0.3333 0.9227

Calculated values
Energy in Ry per atom: -0.2661


(10)
Compound: Ag4IBrCl2
Source: the Open Quantum Materials Database
Functional: PBE
Structure: relaxed

a b c (Å): 7.6905 7.6905 7.6905
angles (deg): 132.09 132.09 70.09
Fractional coordinates of all 8 atoms:
1 Ag 0.3782 0.8913 0.0246
2 Ag 0.1087 0.1333 0.4869
3 Ag 0.6464 0.6218 0.5131
4 Ag 0.8667 0.3536 0.9754
5 Br 0.5000 0.5000 0.0000
6 Cl 0.0000 0.0000 0.0000
7 Cl 0.7500 0.2500 0.5000
8 I 0.2500 0.7500 0.5000

Calculated values
Energy in Ry per atom: -0.1954


(11)
Compound: Rb2AgBr3Cl
Source: the Open Quantum Materials Database
Functional: PBE
Structure: relaxed

a b c (Å): 4.5525 7.6680 7.6680
angles (deg): 88.02 90.00 90.00
Fractional coordinates of all 7 atoms:
1 Ag 0.0000 0.0007 0.0007
2 Br 0.0000 0.7561 0.2470
3 Br 0.0000 0.2470 0.7561
4 Br 0.0000 0.7651 0.7651
5 Cl 0.0000 0.2272 0.2272
6 Rb 0.5000 0.4910 0.0130
7 Rb 0.5000 0.0130 0.4910

Calculated values
Energy in Ry per atom: -0.2076


(12)
Compound: Tl2AgBr3Cl
Source: the Open Quantum Materials Database
Functional: PBE
Structure: relaxed

a b c (Å): 4.3232 7.5761 7.5761
angles (deg): 88.33 90.00 90.00
Fractional coordinates of all 7 atoms:
1 Ag 0.0000 0.9989 0.9989
2 Br 0.0000 0.2374 0.2374
3 Br 0.0000 0.7512 0.2451
4 Br 0.0000 0.2451 0.7512
5 Cl 0.0000 0.7702 0.7702
6 Tl 0.5000 0.9899 0.5074
7 Tl 0.5000 0.5074 0.9899

Calculated values
Energy in Ry per atom: -0.1976